First-principles (GGA-PBE) data for an optimized crystal structure of CaSeBr2F, as listed in Alexandria via LeMat-Bulk.

Output
V = 24.96 Å³ per atom
DOS(E_F) = 0.537 states/eV/atom
Energy relative to the lowest polymorph listed for this composition = 0.0000 eV per atom
E_form (uncorrected) = -82.0 kJ/mol of atoms
E_tot = -2.990 eV/atom

Structure (POSCAR):
```
CaSeBr2F
1.0
5.5635 0.0000 0.0000
0.0000 5.5635 0.0000
0.0000 0.0000 4.0315
Ca Se Br F
1 1 2 1
direct
0.0000 0.0000 0.0000
0.5000 0.5000 0.0000
0.0000 0.5000 0.5000
0.5000 0.0000 0.5000
0.5000 0.5000 0.5000
```